No. 1
An optimized crystal structure of CdAsRu2, computed with PBE.

```
CdAsRu2
1.0
5.1646 -0.0070 0.0010
-1.8432 4.8245 0.0010
0.7450 1.0806 2.6180
Ru As Cd
2 1 1
direct
0.0000 0.0000 0.0000
0.5000 0.5000 0.0000
0.5000 0.0000 0.5000
0.0000 0.5000 0.5000
```

## Properties
V	16.30	A^3/atom
formation energy from the elements	0.462	eV/atom
energy above the lowest structure with this stoichiometry	393	meV/atom
E_tot	-22.27	eV for the cell shown

---

No. 2
An optimized crystal structure of BeZnRh2, computed with PBE.

```
BeZnRh2
1.0
2.9240 0.0000 0.0000
0.0000 4.1306 0.0000
0.0000 0.0000 4.1306
Be Zn Rh
1 1 2
direct
0.5000 0.0000 0.5000
0.5000 0.5000 0.0000
0.0000 0.0000 0.0000
0.0000 0.5000 0.5000
```

## Properties
V	12.47	A^3/atom
formation energy from the elements	-0.398	eV/atom
energy above the lowest structure with this stoichiometry	66	meV/atom
E_tot	-21.29	eV for the cell shown

---

No. 3
An optimized crystal structure of Nd2Ho12Er5, computed with PBE.

```
Nd2Ho12Er5
1.0
-0.1763 1.4992 -9.0496
-5.0158 -10.8763 2.9466
-2.4508 7.9884 1.3711
Nd Ho Er
2 12 5
direct
0.6850 0.0000 0.0000
0.3150 0.0000 0.0000
0.0946 0.1892 0.3060
0.0238 0.6853 0.9304
0.6616 0.6853 0.9304
0.1819 0.7475 0.3992
0.5655 0.7475 0.3992
0.5576 0.1152 0.7864
0.4424 0.8848 0.2136
0.8181 0.2525 0.6008
0.4345 0.2525 0.6008
0.9762 0.3147 0.0696
0.3384 0.3147 0.0696
0.9054 0.8108 0.6940
0.3031 0.6061 0.6144
0.2324 0.4648 0.8879
0.0000 0.0000 0.5000
0.7676 0.5352 0.1121
0.6969 0.3939 0.3856
```

## Properties
V	32.11	A^3/atom
formation energy from the elements	0.134	eV/atom
energy above the lowest structure with this stoichiometry	80	meV/atom
E_tot	-84.73	eV for the cell shown

---

No. 4
An optimized crystal structure of Er4Cd2C, computed with PBE.

```
Er4Cd2C
1.0
-2.0912 -0.4961 4.3695
0.2565 -4.8439 -0.4272
5.8153 -2.5984 5.2016
C Cd Er
1 2 4
direct
0.0000 0.0000 0.0000
0.6329 0.6329 0.7342
0.3671 0.3671 0.2658
0.8369 0.8369 0.3262
0.1631 0.1631 0.6738
0.0000 0.5000 0.0000
0.5000 0.0000 0.0000
```

## Properties
V	25.30	A^3/atom
formation energy from the elements	-0.210	eV/atom
E_tot	-30.78	eV for the cell shown

---

No. 5
An optimized crystal structure of Pa2AlCoN5, computed with PBE.

```
Pa2AlCoN5
1.0
-0.0638 -2.1020 2.4870
5.8980 2.8136 0.3968
-3.7697 7.0727 5.8813
Pa Al Co N
4 2 2 10
direct
0.8479 0.6958 0.8046
0.0977 0.1955 0.6760
0.1521 0.3042 0.3046
0.9023 0.8045 0.1760
0.7964 0.5928 0.5100
0.2036 0.4072 0.0100
0.5265 0.0530 0.9533
0.4735 0.9470 0.4533
0.3643 0.7285 0.9967
0.6769 0.3538 0.8857
0.4846 0.9691 0.7723
0.2757 0.5513 0.6648
0.9420 0.8840 0.5605
0.6357 0.2715 0.4967
0.3231 0.6462 0.3857
0.5154 0.0309 0.2723
0.7243 0.4487 0.1648
0.0580 0.1160 0.0605
```

## Properties
V	11.41	A^3/atom
uncorrected formation energy	-1.036	eV/atom
E_tot	-161.57	eV for the cell shown

---

No. 6
An optimized crystal structure of BaHfIr2, computed with PBE.

```
BaHfIr2
1.0
0.0000 3.4925 3.4925
3.4925 0.0000 3.4925
3.4925 3.4925 0.0000
Ir Hf Ba
2 1 1
direct
0.2500 0.2500 0.2500
0.7500 0.7500 0.7500
0.5000 0.5000 0.5000
0.0000 0.0000 0.0000
```

## Properties
V	21.30	A^3/atom
formation energy from the elements	0.114	eV/atom
energy above the lowest structure with this stoichiometry	0	meV/atom
E_tot	-29.14	eV for the cell shown

---

No. 7
An optimized crystal structure of BaP2, computed with PBE.

```
BaP2
1.0
-3.9231 -3.6908 -7.0853
-1.7989 -3.0396 8.1694
-3.0850 2.6736 0.3155
Ba P
3 6
direct
0.3333 0.6667 0.0000
0.6667 0.3333 0.0000
0.0000 0.0000 0.5000
0.2805 0.0000 0.0000
0.0000 0.2805 0.0000
0.7195 0.7195 0.0000
0.3904 0.0000 0.5000
0.0000 0.3904 0.5000
0.6096 0.6096 0.5000
```

## Properties
V	31.21	A^3/atom
formation energy from the elements	-0.632	eV/atom
E_tot	-43.92	eV for the cell shown

---

No. 8
An optimized crystal structure of Ta5Mo3, computed with PBE.

```
Ta5Mo3
1.0
5.4248 0.0080 0.0048
-2.5031 4.7829 -0.0031
0.5878 0.7259 5.3108
Mo Ta
3 5
direct
0.9961 0.9997 0.9938
0.6250 0.1250 0.7500
0.2539 0.2503 0.5062
0.8828 0.3649 0.2595
0.5019 0.4924 0.0053
0.1250 0.6250 0.7500
0.7481 0.7576 0.4947
0.3672 0.8851 0.2405
```

## Properties
V	17.24	A^3/atom
formation energy from the elements	-0.129	eV/atom
energy above the lowest structure with this stoichiometry	44	meV/atom
E_tot	-92.79	eV for the cell shown

---

Number 1: N(E_F) 4.8 states/eV/cell. Number 2: N(E_F) 4.1 states/eV/cell. Number 3: N(E_F) 27.4 states/eV/cell. Number 4: N(E_F) 8.9 states/eV/cell. Number 5: N(E_F) 5.8 states/eV/cell. Number 6: N(E_F) 1.2 states/eV/cell. Number 7: N(E_F) 2.5 states/eV/cell. Number 8: N(E_F) 8.2 states/eV/cell.